## LaIn2 (meta-GGA SCAN)

Data for a PBEsol-optimized structure of LaIn2.

Results
ρ: 6208 kg/m³
Density of states at the Fermi level: 2.20 states/eV/f.u.
Energy: -36.827 eV/atom
ΔH_f (0 K): -201 meV per atom

```
data_LaIn2
_chemical_formula_sum 'La4 In8'
_cell_length_a 7.333
_cell_length_b 7.333
_cell_length_c 7.333
_cell_angle_alpha 90.00
_cell_angle_beta 90.00
_cell_angle_gamma 90.00
_symmetry_space_group_name_H-M 'F m -3 m'
_symmetry_Int_Tables_number 225
_symmetry_space_group_name_Hall '-F 4 2 3'
loop_
_atom_site_label
_atom_site_type_symbol
_atom_site_fract_x
_atom_site_fract_y
_atom_site_fract_z
La1 La 0.000 0.000 0.000
In1 In 0.250 0.250 0.250
```